Entry from the Alexandria database: a crystal of TaMo4 relaxed with PBEsol (SCAN).

* space-group type: I4/m, No. 87
* magnetic moment: 0.0 μB/f.u.
* Fermi-level density of states: 2.08 states/eV per cell
* calculated density: 11.960 g cm⁻³
* uncorrected energy: -206.7 eV per cell
* V: 15.68 Å³/atom
* ΔH_f (0 K): -10.9 kJ per mole of atoms

Geometry as POSCAR:
```
TaMo4
1.0
-3.5258 3.5258 1.5767
3.5258 -3.5258 1.5767
3.5258 3.5258 -1.5767
Ta Mo
1 4
Cartesian
0.0000 0.0000 0.0000
2.8151 1.3880 0.0000
2.1378 -0.7108 1.5767
1.3880 4.2366 0.0000
0.7108 2.1378 1.5767
```



Entry from the Alexandria database: a crystal of Ta3Mo relaxed with PBEsol (SCAN).

* space-group type: P-1, No. 2
* magnetic moment: 0.0 μB/f.u.
* Fermi-level density of states: 7.98 states/eV per cell
* calculated density: 15.656 g cm⁻³
* uncorrected energy: -470.0 eV per cell
* V: 16.94 Å³/atom
* ΔH_f (0 K): -9.0 kJ per mole of atoms

Geometry as POSCAR:
```
Ta3Mo
1.0
5.3680 0.0000 0.0000
-2.4622 4.7926 0.0000
-0.9888 -1.5654 5.2670
Ta Mo
6 2
Cartesian
-0.7564 1.0419 0.6616
1.1445 -0.1639 4.5935
0.1652 2.6192 3.2815
1.7518 0.6080 1.9855
0.7725 3.3910 0.6735
2.6734 2.1852 4.6054
-1.2153 0.1933 3.2864
3.1323 3.0338 1.9807
```



Entry from the Alexandria database: a crystal of Ta2Mo relaxed with PBEsol (SCAN).

* space-group type: P-3m1, No. 164
* magnetic moment: 0.0 μB/f.u.
* Fermi-level density of states: 2.67 states/eV per cell
* calculated density: 14.700 g cm⁻³
* uncorrected energy: -167.4 eV per cell
* V: 17.24 Å³/atom
* ΔH_f (0 K): 20.0 kJ per mole of atoms

Geometry as POSCAR:
```
Ta2Mo
1.0
3.0599 0.0000 0.0000
-1.5299 2.6499 0.0000
0.0000 0.0000 6.3783
Ta Mo
2 1
Cartesian
0.0000 1.7666 2.0542
1.5299 0.8833 4.3241
0.0000 0.0000 0.0000
```



Entry from the Alexandria database: a crystal of TaMo2 relaxed with PBEsol (SCAN).

* space-group type: P-3m1, No. 164
* magnetic moment: 0.0 μB/f.u.
* Fermi-level density of states: 2.79 states/eV per cell
* calculated density: 12.925 g cm⁻³
* uncorrected energy: -273.4 eV per cell
* V: 15.97 Å³/atom
* ΔH_f (0 K): -11.1 kJ per mole of atoms

Geometry as POSCAR:
```
TaMo2
1.0
4.4966 0.0000 0.0000
-2.2483 3.8942 0.0000
0.0000 0.0000 5.4710
Ta Mo
2 4
Cartesian
0.0000 2.5961 2.2514
2.2483 1.2980 3.2196
0.0000 0.0000 1.3555
0.0000 0.0000 4.1155
0.0000 2.5961 5.0046
2.2483 1.2980 0.4664
```



Entry from the Alexandria database: a crystal of TaMo2 relaxed with PBEsol (SCAN).

* space-group type: P-1, No. 2
* magnetic moment: 0.0 μB/f.u.
* Fermi-level density of states: 2.76 states/eV per cell
* calculated density: 12.920 g cm⁻³
* uncorrected energy: -273.4 eV per cell
* V: 15.97 Å³/atom
* ΔH_f (0 K): -11.5 kJ per mole of atoms

Geometry as POSCAR:
```
TaMo2
1.0
2.7721 0.0000 0.0000
0.9323 5.1554 0.0000
0.9377 1.3092 6.7058
Ta Mo
2 4
Cartesian
0.4808 0.6580 1.1387
4.1613 5.8066 5.5671
1.4145 1.9523 3.3483
2.3320 3.2396 5.5648
2.3101 3.2250 1.1410
3.2277 4.5123 3.3575
```



Entry from the Alexandria database: a crystal of Ta3Mo relaxed with PBEsol (SCAN).

* space-group type: R-3m, No. 166
* magnetic moment: 0.0 μB/f.u.
* Fermi-level density of states: 4.85 states/eV per cell
* calculated density: 15.665 g cm⁻³
* uncorrected energy: -234.9 eV per cell
* V: 16.93 Å³/atom
* ΔH_f (0 K): -5.9 kJ per mole of atoms

Geometry as POSCAR:
```
Ta3Mo
1.0
4.5570 2.6310 0.9413
-4.5570 2.6310 0.9413
0.0000 -5.2619 0.9413
Ta Mo
3 1
Cartesian
-2.2785 -1.3155 0.9413
-2.2785 1.3155 1.8826
0.0000 2.6310 0.9413
0.0000 0.0000 0.0000
```



Entry from the Alexandria database: a crystal of Ta3Mo5 relaxed with PBEsol (SCAN).

* space-group type: Cmmm, No. 65
* magnetic moment: 0.0 μB/f.u.
* Fermi-level density of states: 4.15 states/eV per cell
* calculated density: 13.219 g cm⁻³
* uncorrected energy: -375.0 eV per cell
* V: 16.06 Å³/atom
* ΔH_f (0 K): -9.7 kJ per mole of atoms

Geometry as POSCAR:
```
Ta3Mo5
1.0
1.5881 -2.2782 0.0000
1.5881 2.2782 0.0000
0.0000 0.0000 17.7510
Ta Mo
3 5
Cartesian
0.0000 0.0000 0.0000
0.0000 0.0000 4.4786
0.0000 0.0000 13.2724
0.0000 0.0000 8.8755
1.5881 0.0000 2.2381
1.5881 0.0000 6.7300
1.5881 0.0000 11.0210
1.5881 0.0000 15.5129
```



Entry from the Alexandria database: a crystal of Ta2Mo relaxed with PBEsol (SCAN).

* space-group type: Cmcm, No. 63
* magnetic moment: 0.0 μB/f.u.
* Fermi-level density of states: 5.82 states/eV per cell
* calculated density: 15.142 g cm⁻³
* uncorrected energy: -336.8 eV per cell
* V: 16.74 Å³/atom
* ΔH_f (0 K): -11.1 kJ per mole of atoms

Geometry as POSCAR:
```
Ta2Mo
1.0
2.2662 -6.8872 0.0000
2.2662 6.8872 0.0000
0.0000 0.0000 3.2169
Ta Mo
4 2
Cartesian
2.2662 5.7181 2.4126
2.2662 3.3622 0.8042
2.2662 -3.3622 2.4126
2.2662 -5.7181 0.8042
2.2662 1.0976 2.4126
2.2662 -1.0976 0.8042
```